No. 1
DFT (PBE) results for crystalline Tb2Ho5Tm at its relaxed geometry.

a = 7.0424 Å, b = 14.0857 Å, c = 4.9734 Å
α = 90.00°, β = 90.00°, γ = 90.00°
Element x y z (fractional)
1 Tb 0.2503 0.1248 0.0000
2 Tb 0.2497 0.6248 0.0000
3 Tb 0.7503 0.3752 0.0000
4 Tb 0.7497 0.8752 0.0000
5 Ho 0.0000 0.0000 0.5000
6 Ho 0.0005 0.2502 0.5000
7 Ho 0.9995 0.7498 0.5000
8 Ho 0.2502 0.3751 0.0000
9 Ho 0.2498 0.8751 0.0000
10 Ho 0.5005 0.2498 0.5000
11 Ho 0.5000 0.5000 0.5000
12 Ho 0.4995 0.7502 0.5000
13 Ho 0.7502 0.1249 0.0000
14 Ho 0.7498 0.6249 0.0000
15 Tm 0.0000 0.5000 0.5000
16 Tm 0.5000 0.0000 0.5000

Total magnetization (μB per cell): 0.00
Symmetry: No. 55
DOS at the Fermi energy (states/eV/cell): 18.5
E_form (eV per atom): 0.02
Excess energy over the best structure of this formula in the dataset (meV/atom): 0.0

---

No. 2
DFT (PBE) results for crystalline NaFe2I4 at its relaxed geometry.

a = 8.1324 Å, b = 8.1324 Å, c = 8.1324 Å
α = 137.30°, β = 137.30°, γ = 61.98°
Element x y z (fractional)
1 Na 0.0000 0.0000 0.0000
2 Fe 0.4194 0.4194 0.0000
3 Fe 0.5806 0.5806 0.0000
4 I 0.0000 0.5000 0.5000
5 I 0.2387 0.2387 0.0000
6 I 0.5000 0.0000 0.5000
7 I 0.7613 0.7613 0.0000

Total magnetization (μB per cell): 7.20
Symmetry: No. 139
ΔE_f (raw) (eV per atom): -0.04
DOS at the Fermi energy (states/eV/cell): 4.8

---

No. 3
DFT (PBE) results for crystalline Tm2SnH at its relaxed geometry.

a = 8.3590 Å, b = 6.2815 Å, c = 6.5435 Å
α = 90.00°, β = 99.39°, γ = 90.00°
Element x y z (fractional)
1 Tm 0.0630 0.1579 0.3179
2 Tm 0.0630 0.3421 0.8179
3 Tm 0.3069 0.6424 0.5296
4 Tm 0.3069 0.8576 0.0296
5 Tm 0.6931 0.1424 0.9704
6 Tm 0.6931 0.3576 0.4704
7 Tm 0.9370 0.6579 0.1821
8 Tm 0.9370 0.8421 0.6821
9 Sn 0.3767 0.1412 0.6350
10 Sn 0.3767 0.3588 0.1350
11 Sn 0.6233 0.6412 0.8650
12 Sn 0.6233 0.8588 0.3650
13 H 0.0766 0.6667 0.9275
14 H 0.0766 0.8333 0.4275
15 H 0.9234 0.1667 0.5725
16 H 0.9234 0.3333 0.0725

Total magnetization (μB per cell): 0.00
Symmetry: No. 14
DOS at the Fermi energy (states/eV/cell): 11.1
Excess energy over the best structure of this formula in the dataset (meV/atom): 150.3

---

No. 4
DFT (PBE) results for crystalline AcGa2Ge at its relaxed geometry.

a = 4.7346 Å, b = 4.7204 Å, c = 4.7204 Å
α = 82.61°, β = 90.00°, γ = 90.00°
Element x y z (fractional)
1 Ac 0.0000 0.0000 0.0000
2 Ga 0.0000 0.5002 0.5002
3 Ga 0.5000 0.3137 0.3137
4 Ge 0.5000 0.6857 0.6857

Total magnetization (μB per cell): 0.00
Symmetry: No. 38
DOS at the Fermi energy (states/eV/cell): 2.3
E_form (eV per atom): -0.30
Excess energy over the best structure of this formula in the dataset (meV/atom): 70.2

---

No. 5
DFT (PBE) results for crystalline Rb2LiZn2 at its relaxed geometry.

a = 12.6556 Å, b = 12.6556 Å, c = 12.6556 Å
α = 162.10°, β = 162.10°, γ = 25.42°
Element x y z (fractional)
1 Rb 0.1240 0.1240 0.0000
2 Rb 0.8760 0.8760 0.0000
3 Li 0.5000 0.5000 0.0000
4 Zn 0.2500 0.7500 0.5000
5 Zn 0.7500 0.2500 0.5000

Total magnetization (μB per cell): 0.00
Symmetry: No. 139
DOS at the Fermi energy (states/eV/cell): 2.7
E_form (eV per atom): 0.22
Excess energy over the best structure of this formula in the dataset (meV/atom): 35.1

---

No. 6
DFT (PBE) results for crystalline ZrCdS3 at its relaxed geometry.

a = 4.9854 Å, b = 4.9854 Å, c = 4.9854 Å
α = 90.00°, β = 90.00°, γ = 90.00°
Element x y z (fractional)
1 Zr 0.0000 0.0000 0.0000
2 Cd 0.5000 0.5000 0.5000
3 S 0.0000 0.0000 0.5000
4 S 0.0000 0.5000 0.0000
5 S 0.5000 0.0000 0.0000

Total magnetization (μB per cell): 0.00
Symmetry: No. 221
ΔE_f (raw) (eV per atom): -0.56
DOS at the Fermi energy (states/eV/cell): 3.2
Excess energy over the best structure of this formula in the dataset (meV/atom): 376.2